Computed, not measured: a geometry-optimized PmY6Tm2Sc3 structure at the PBE level of DFT.

a b c (Å): 6.0610 6.0610 11.5092
angles (deg): 95.03 95.03 119.97
With the nearest neighbours (Å) after each atom.
Element x y z (fractional)
Pm1 0.0000 0.0000 0.0000  6 Tm 3.50, 6 Y 3.56-3.57
Y1 0.0864 0.4201 0.2589  3 Sc 3.39-3.40, 6 Y 3.50, 2 Tm 3.56, 1 Pm 3.56
Y2 0.2473 0.2473 0.7409  3 Sc 3.39-3.40, 6 Y 3.50, 2 Tm 3.56, 1 Pm 3.57
Y3 0.4201 0.0864 0.2589  3 Sc 3.39-3.40, 6 Y 3.50, 2 Tm 3.56, 1 Pm 3.56
Y4 0.5799 0.9136 0.7411  3 Sc 3.39-3.40, 6 Y 3.50, 2 Tm 3.56, 1 Pm 3.56
Y5 0.7527 0.7527 0.2591  3 Sc 3.39-3.40, 6 Y 3.50, 2 Tm 3.56, 1 Pm 3.57
Y6 0.9136 0.5799 0.7411  3 Sc 3.39-3.40, 6 Y 3.50, 2 Tm 3.56, 1 Pm 3.56
Tm1 0.3335 0.6665 0.0000  3 Tm 3.50, 3 Pm 3.50, 6 Y 3.56
Tm2 0.6665 0.3335 0.0000  3 Tm 3.50, 3 Pm 3.50, 6 Y 3.56
Sc1 0.1671 0.8329 0.5000  6 Y 3.39-3.40, 6 Sc 3.49-3.51
Sc2 0.5000 0.5000 0.5000  6 Y 3.39-3.40, 6 Sc 3.49-3.50
Sc3 0.8329 0.1671 0.5000  6 Y 3.39-3.40, 6 Sc 3.49-3.51

Values from the calculation:
- final energy (eV per cell) = -70.84
- total moment (μB/atom) = 0.0000
- symmetry = C2/m, No. 12
- formation energy (eV/f.u.) = 0.63
- N(E_F) (states/eV/f.u.) = 19.1



Computed, not measured: a geometry-optimized Pm5YTmSc2 structure at the PBE level of DFT.

a b c (Å): 10.4238 10.4238 10.5221
angles (deg): 90.00 90.00 149.29
With the nearest neighbours (Å) after each atom.
Element x y z (fractional)
Pm1 0.0118 0.9882 0.5000  2 Tm 3.25, 4 Sc 3.35-3.62
Pm2 0.2760 0.7240 0.8018  1 Tm 3.04, 1 Sc 3.31, 2 Pm 3.35
Pm3 0.3012 0.6988 0.1973  4 Pm 3.35-3.67, 2 Sc 3.40, 1 Tm 3.43, 2 Y 3.45
Pm4 0.3814 0.6186 0.5066  6 Pm 3.57-3.81, 4 Sc 3.60-3.63, 1 Y 3.77
Pm5 0.4828 0.5172 0.2281  2 Tm 3.15-3.36, 2 Sc 3.41
Pm6 0.5172 0.4828 0.7281  2 Tm 3.15-3.36, 2 Sc 3.41
Pm7 0.6186 0.3814 0.0066  6 Pm 3.57-3.81, 4 Sc 3.60-3.63, 1 Y 3.77
Pm8 0.6988 0.3012 0.6973  4 Pm 3.35-3.67, 2 Sc 3.40, 1 Tm 3.43, 2 Y 3.45
Pm9 0.7240 0.2760 0.3018  1 Tm 3.04, 1 Sc 3.31, 2 Pm 3.35
Pm10 0.9882 0.0118 0.0000  2 Tm 3.25, 4 Sc 3.35-3.62
Y1 0.1937 0.8063 0.5003  2 Sc 3.27-3.44, 6 Pm 3.45-3.66, 2 Tm 3.48
Y2 0.8063 0.1937 0.0003  2 Sc 3.27-3.44, 6 Pm 3.45-3.66, 2 Tm 3.48
Tm1 0.4078 0.5922 0.9429  5 Pm 3.04-3.36
Tm2 0.5922 0.4078 0.4429  5 Pm 3.04-3.36
Sc1 0.1116 0.8884 0.7868  9 Pm 3.31-3.62, 1 Y 3.44
Sc2 0.1129 0.8871 0.2305  1 Y 3.27, 6 Pm 3.49-3.63, 2 Tm 3.58
Sc3 0.8871 0.1129 0.7305  1 Y 3.27, 6 Pm 3.49-3.63, 2 Tm 3.58
Sc4 0.8884 0.1116 0.2868  9 Pm 3.31-3.62, 1 Y 3.44

Values from the calculation:
- final energy (eV per cell) = -91.60
- total moment (μB/atom) = 0.0000
- symmetry = Cmc2_1, No. 36
- formation energy (eV/f.u.) = 1.55
- N(E_F) (states/eV/f.u.) = 15.1



Computed, not measured: a geometry-optimized Pm4YTm2Sc structure at the PBE level of DFT.

a b c (Å): 5.0685 5.0788 9.8257
angles (deg): 90.00 90.00 90.00
With the nearest neighbours (Å) after each atom.
Element x y z (fractional)
Pm1 0.0000 0.0000 0.2439  2 Sc 3.49, 4 Tm 3.49-3.57, 2 Y 3.58, 4 Pm 3.59
Pm2 0.0000 0.0000 0.7561  2 Sc 3.49, 4 Tm 3.49-3.57, 2 Y 3.58, 4 Pm 3.59
Pm3 0.5000 0.5000 0.2439  4 Tm 3.49-3.57, 2 Sc 3.49, 2 Y 3.57, 4 Pm 3.59
Pm4 0.5000 0.5000 0.7561  4 Tm 3.49-3.57, 2 Sc 3.49, 2 Y 3.57, 4 Pm 3.59
Y1 0.0000 0.5000 0.5000  8 Pm 3.57-3.58, 4 Tm 3.59
Tm1 0.0000 0.5000 0.0000  8 Pm 3.49, 4 Sc 3.59
Tm2 0.5000 0.0000 0.5000  8 Pm 3.57, 4 Y 3.59
Sc1 0.5000 0.0000 0.0000  8 Pm 3.49, 4 Tm 3.59

Values from the calculation:
- final energy (eV per cell) = -40.51
- total moment (μB/atom) = 0.0000
- symmetry = Pmmm, No. 47
- formation energy (eV/f.u.) = 0.24
- N(E_F) (states/eV/f.u.) = 11.1



Computed, not measured: a geometry-optimized PmYTm5Sc2 structure at the PBE level of DFT.

a b c (Å): 10.9556 10.9556 9.2923
angles (deg): 90.00 90.00 150.73
With the nearest neighbours (Å) after each atom.
Element x y z (fractional)
Pm1 0.0970 0.9030 0.5000  2 Tm 3.02-3.14
Pm2 0.9030 0.0970 0.0000  2 Tm 3.02-3.14
Y1 0.3104 0.6896 0.1019  2 Sc 3.19-3.27, 5 Tm 3.35-3.39, 2 Pm 3.52
Y2 0.6896 0.3104 0.6019  2 Sc 3.19-3.27, 5 Tm 3.35-3.39, 2 Pm 3.52
Tm1 0.0314 0.9686 0.8320  2 Pm 3.14-3.38, 4 Tm 3.19-3.51, 2 Sc 3.34
Tm2 0.1088 0.8912 0.1268  4 Sc 3.18-3.44, 3 Tm 3.19-3.53, 1 Pm 3.48
Tm3 0.1923 0.8077 0.8057  5 Tm 3.34-3.71, 3 Y 3.35-3.72, 3 Sc 3.37-3.50, 1 Pm 3.49
Tm4 0.2350 0.7650 0.4189  1 Pm 3.02, 1 Sc 3.22, 2 Tm 3.34, 1 Y 3.35
Tm5 0.4918 0.5082 0.1060  1 Sc 3.17, 2 Pm 3.49, 2 Tm 3.51
Tm6 0.5082 0.4918 0.6060  1 Sc 3.17, 2 Pm 3.49, 2 Tm 3.51
Tm7 0.7650 0.2350 0.9189  1 Pm 3.02, 1 Sc 3.22, 2 Tm 3.34, 1 Y 3.35
Tm8 0.8077 0.1923 0.3057  5 Tm 3.34-3.71, 3 Y 3.35-3.72, 3 Sc 3.37-3.50, 1 Pm 3.49
Tm9 0.8912 0.1088 0.6268  4 Sc 3.18-3.44, 3 Tm 3.19-3.53, 1 Pm 3.48
Tm10 0.9686 0.0314 0.3320  2 Pm 3.14-3.38, 4 Tm 3.19-3.51, 2 Sc 3.34
Sc1 0.3569 0.6431 0.7750  3 Tm 3.18-3.50, 1 Y 3.19, 1 Sc 3.47
Sc2 0.3867 0.6133 0.4079  8 Tm 3.17-3.44, 1 Y 3.27, 1 Sc 3.47
Sc3 0.6133 0.3867 0.9079  8 Tm 3.17-3.44, 1 Y 3.27, 1 Sc 3.47
Sc4 0.6431 0.3569 0.2750  3 Tm 3.18-3.50, 1 Y 3.19, 1 Sc 3.47

Values from the calculation:
- final energy (eV per cell) = -89.32
- total moment (μB/atom) = 0.0000
- symmetry = Cmc2_1, No. 36
- formation energy (eV/f.u.) = 1.57
- N(E_F) (states/eV/f.u.) = 13.7



Computed, not measured: a geometry-optimized Pm2Y4TmSc2 structure at the PBE level of DFT.

a b c (Å): 8.6067 8.6067 9.6013
angles (deg): 100.14 100.14 23.37
With the nearest neighbours (Å) after each atom.
Element x y z (fractional)
Pm1 0.1589 0.1589 0.0889  2 Pm 3.49, 7 Y 3.51-3.67, 2 Sc 3.62
Pm2 0.8411 0.8411 0.9111  2 Pm 3.49, 7 Y 3.51-3.67, 2 Sc 3.62
Y1 0.1743 0.1743 0.7254  3 Sc 3.24-3.38, 1 Tm 3.32, 4 Y 3.49-3.51, 3 Pm 3.51-3.55
Y2 0.4880 0.4880 0.1780  1 Sc 3.47, 5 Y 3.49-3.51, 2 Tm 3.52, 4 Pm 3.60-3.67
Y3 0.5120 0.5120 0.8220  1 Sc 3.47, 5 Y 3.49-3.51, 2 Tm 3.52, 4 Pm 3.60-3.67
Y4 0.8257 0.8257 0.2746  3 Sc 3.24-3.38, 1 Tm 3.32, 4 Y 3.49-3.51, 3 Pm 3.51-3.55
Tm1 0.0000 0.0000 0.5000  6 Y 3.32-3.52, 2 Tm 3.49, 4 Sc 3.51
Sc1 0.3329 0.3329 0.5780  4 Y 3.24-3.47, 4 Sc 3.40-3.49, 2 Tm 3.51, 2 Pm 3.62
Sc2 0.6671 0.6671 0.4220  4 Y 3.24-3.47, 4 Sc 3.40-3.49, 2 Tm 3.51, 2 Pm 3.62

Values from the calculation:
- final energy (eV per cell) = -52.07
- total moment (μB/atom) = 0.0000
- symmetry = C2/m, No. 12
- formation energy (eV/f.u.) = 0.42
- N(E_F) (states/eV/f.u.) = 14.7



Computed, not measured: a geometry-optimized PmY3TmSc structure at the PBE level of DFT.

a b c (Å): 7.8727 7.8727 9.9928
angles (deg): 90.00 90.00 143.29
With the nearest neighbours (Å) after each atom.
Element x y z (fractional)
Pm1 0.0031 0.9969 0.7500  6 Y 3.48-3.57, 2 Sc 3.49, 4 Tm 3.52
Pm2 0.9969 0.0031 0.2500  6 Y 3.48-3.57, 2 Sc 3.49, 4 Tm 3.52
Y1 0.1664 0.8336 0.5011  2 Pm 3.48-3.57, 5 Y 3.50-3.53, 2 Tm 3.51, 3 Sc 3.51-3.53
Y2 0.1664 0.8336 0.9989  2 Pm 3.48-3.57, 5 Y 3.50-3.53, 2 Tm 3.51, 3 Sc 3.51-3.53
Y3 0.3311 0.6689 0.7500  2 Sc 3.49, 6 Y 3.50-3.53, 2 Tm 3.55, 2 Pm 3.57
Y4 0.6689 0.3311 0.2500  2 Sc 3.49, 6 Y 3.50-3.53, 2 Tm 3.55, 2 Pm 3.57
Y5 0.8336 0.1664 0.0011  2 Pm 3.48-3.57, 5 Y 3.50-3.53, 2 Tm 3.51, 3 Sc 3.51-3.53
Y6 0.8336 0.1664 0.4989  2 Pm 3.48-3.57, 5 Y 3.50-3.53, 2 Tm 3.51, 3 Sc 3.51-3.53
Tm1 0.5000 0.5000 0.0000  6 Y 3.51-3.55, 4 Pm 3.52, 2 Sc 3.53
Tm2 0.5000 0.5000 0.5000  6 Y 3.51-3.55, 4 Pm 3.52, 2 Sc 3.53
Sc1 0.3330 0.6670 0.2500  2 Pm 3.49, 8 Y 3.49-3.53, 2 Tm 3.53
Sc2 0.6670 0.3330 0.7500  2 Pm 3.49, 8 Y 3.49-3.53, 2 Tm 3.53

Values from the calculation:
- final energy (eV per cell) = -69.39
- total moment (μB/atom) = 0.0000
- symmetry = Cmcm, No. 63
- formation energy (eV/f.u.) = 0.25
- N(E_F) (states/eV/f.u.) = 9.2



Computed, not measured: a geometry-optimized PmYTm2Sc4 structure at the PBE level of DFT.

a b c (Å): 9.0794 9.0794 6.5152
angles (deg): 111.02 111.02 88.38
With the nearest neighbours (Å) after each atom.
Element x y z (fractional)
Pm1 0.0000 0.0000 0.0000  6 Sc 3.21-3.29, 2 Pm 3.26
Pm2 0.0000 0.0000 0.5000  6 Sc 3.21-3.29, 2 Pm 3.26
Y1 0.0000 0.5000 0.0000  6 Sc 3.20-3.27, 2 Tm 3.26
Y2 0.5000 0.0000 0.5000  6 Sc 3.20-3.27, 2 Tm 3.26
Tm1 0.0000 0.5000 0.5000  6 Sc 3.13-3.25, 2 Y 3.26
Tm2 0.5000 0.0000 0.0000  6 Sc 3.13-3.25, 2 Y 3.26
Tm3 0.5000 0.5000 0.0000  6 Sc 3.12-3.23, 2 Tm 3.26
Tm4 0.5000 0.5000 0.5000  6 Sc 3.12-3.23, 2 Tm 3.26
Sc1 0.2509 0.2559 0.5046  3 Tm 3.13-3.23, 1 Y 3.20, 2 Sc 3.26, 2 Pm 3.28-3.29
Sc2 0.2534 0.7464 0.5026  3 Tm 3.12-3.25, 1 Pm 3.21, 2 Sc 3.22-3.29, 2 Y 3.26-3.27
Sc3 0.2536 0.7466 0.9974  3 Tm 3.12-3.25, 1 Pm 3.21, 2 Sc 3.22-3.29, 2 Y 3.26-3.27
Sc4 0.2559 0.2509 0.0046  3 Tm 3.13-3.23, 1 Y 3.20, 2 Sc 3.26, 2 Pm 3.28-3.29
Sc5 0.7441 0.7491 0.9954  3 Tm 3.13-3.23, 1 Y 3.20, 2 Sc 3.26, 2 Pm 3.28-3.29
Sc6 0.7464 0.2534 0.0026  3 Tm 3.12-3.25, 1 Pm 3.21, 2 Sc 3.22-3.29, 2 Y 3.26-3.27
Sc7 0.7466 0.2536 0.4974  3 Tm 3.12-3.25, 1 Pm 3.21, 2 Sc 3.22-3.29, 2 Y 3.26-3.27
Sc8 0.7491 0.7441 0.4954  3 Tm 3.13-3.23, 1 Y 3.20, 2 Sc 3.26, 2 Pm 3.28-3.29

Values from the calculation:
- final energy (eV per cell) = -83.95
- total moment (μB/atom) = 0.4855
- symmetry = C2/c, No. 15
- formation energy (eV/f.u.) = 3.51
- N(E_F) (states/eV/f.u.) = 17.2



Computed, not measured: a geometry-optimized Pm2YTmSc4 structure at the PBE level of DFT.

a b c (Å): 4.9551 4.9551 9.2419
angles (deg): 90.00 90.00 90.00
With the nearest neighbours (Å) after each atom.
Element x y z (fractional)
Pm1 0.0000 0.0000 0.0000  8 Sc 3.38, 4 Tm 3.50
Pm2 0.5000 0.5000 0.5000  8 Sc 3.40, 4 Y 3.50
Y1 0.0000 0.0000 0.5000  8 Sc 3.40, 4 Pm 3.50
Tm1 0.5000 0.5000 0.0000  8 Sc 3.38, 4 Pm 3.50
Sc1 0.0000 0.5000 0.2482  4 Pm 3.38-3.40, 2 Tm 3.38, 2 Y 3.40, 4 Sc 3.50
Sc2 0.0000 0.5000 0.7518  2 Tm 3.38, 4 Pm 3.38-3.40, 2 Y 3.40, 4 Sc 3.50
Sc3 0.5000 0.0000 0.2482  4 Pm 3.38-3.40, 2 Tm 3.38, 2 Y 3.40, 4 Sc 3.50
Sc4 0.5000 0.0000 0.7518  2 Tm 3.38, 4 Pm 3.38-3.40, 2 Y 3.40, 4 Sc 3.50

Values from the calculation:
- final energy (eV per cell) = -45.33
- total moment (μB/atom) = 0.0000
- symmetry = P4/mmm, No. 123
- formation energy (eV/f.u.) = 0.43
- N(E_F) (states/eV/f.u.) = 13.2



Computed, not measured: a geometry-optimized Pm2YTmSc structure at the PBE level of DFT.

a b c (Å): 6.9886 6.9886 7.1462
angles (deg): 90.00 90.00 108.67
With the nearest neighbours (Å) after each atom.
Element x y z (fractional)
Pm1 0.1994 0.1994 0.0000  2 Sc 3.04, 1 Pm 3.25
Pm2 0.1994 0.1994 0.5000  2 Sc 3.04, 1 Pm 3.25
Pm3 0.8006 0.8006 0.0000  2 Sc 3.04, 1 Pm 3.25
Pm4 0.8006 0.8006 0.5000  2 Sc 3.04, 1 Pm 3.25
Y1 0.2448 0.7552 0.7500  1 Sc 3.09
Y2 0.7552 0.2448 0.2500  1 Sc 3.09
Tm1 0.2212 0.7788 0.2500  1 Sc 2.97
Tm2 0.7788 0.2212 0.7500  1 Sc 2.97
Sc1 0.4827 0.5173 0.2500  1 Tm 2.97, 4 Pm 3.04, 1 Y 3.09
Sc2 0.5173 0.4827 0.7500  1 Tm 2.97, 4 Pm 3.04, 1 Y 3.09

Values from the calculation:
- final energy (eV per cell) = -49.85
- total moment (μB/atom) = 0.0001
- symmetry = Cmcm, No. 63
- formation energy (eV/f.u.) = 1.84
- N(E_F) (states/eV/f.u.) = 7.1



Computed, not measured: a geometry-optimized Pm2YTm2Sc2 structure at the PBE level of DFT.

a b c (Å): 5.9463 5.9463 11.5171
angles (deg): 107.77 107.77 33.43
With the nearest neighbours (Å) after each atom.
Element x y z (fractional)
Pm1 0.1733 0.1733 0.0900  4 Tm 3.39-3.53, 4 Pm 3.42-3.55, 2 Sc 3.51
Pm2 0.8267 0.8267 0.9100  4 Tm 3.39-3.53, 4 Pm 3.42-3.55, 2 Sc 3.51
Y1 0.5000 0.5000 0.5000  6 Sc 3.40-3.44, 2 Y 3.42, 4 Tm 3.43
Tm1 0.0458 0.0458 0.7688  4 Pm 3.39-3.53, 2 Tm 3.42, 3 Sc 3.43-3.46, 2 Y 3.43
Tm2 0.9542 0.9542 0.2312  4 Pm 3.39-3.53, 2 Tm 3.42, 3 Sc 3.43-3.46, 2 Y 3.43
Sc1 0.2721 0.2721 0.6315  4 Sc 3.37-3.42, 3 Y 3.40-3.44, 3 Tm 3.43-3.46, 2 Pm 3.51
Sc2 0.7279 0.7279 0.3685  4 Sc 3.37-3.42, 3 Y 3.40-3.44, 3 Tm 3.43-3.46, 2 Pm 3.51

Values from the calculation:
- final energy (eV per cell) = -36.79
- total moment (μB/atom) = 0.0001
- symmetry = C2/m, No. 12
- formation energy (eV/f.u.) = 0.78
- N(E_F) (states/eV/f.u.) = 12.3



- Which formula does entry 6 have?
  PmY3TmSc



- What is the total moment in the fifth record?
  0.0000 μB/atom



- N(E_F) of number 6 (PmY3TmSc)?
  9.2 states/eV/f.u.



Repeat the third record exactly.
Computed, not measured: a geometry-optimized Pm4YTm2Sc structure at the PBE level of DFT.

a b c (Å): 5.0685 5.0788 9.8257
angles (deg): 90.00 90.00 90.00
With the nearest neighbours (Å) after each atom.
Element x y z (fractional)
Pm1 0.0000 0.0000 0.2439  2 Sc 3.49, 4 Tm 3.49-3.57, 2 Y 3.58, 4 Pm 3.59
Pm2 0.0000 0.0000 0.7561  2 Sc 3.49, 4 Tm 3.49-3.57, 2 Y 3.58, 4 Pm 3.59
Pm3 0.5000 0.5000 0.2439  4 Tm 3.49-3.57, 2 Sc 3.49, 2 Y 3.57, 4 Pm 3.59
Pm4 0.5000 0.5000 0.7561  4 Tm 3.49-3.57, 2 Sc 3.49, 2 Y 3.57, 4 Pm 3.59
Y1 0.0000 0.5000 0.5000  8 Pm 3.57-3.58, 4 Tm 3.59
Tm1 0.0000 0.5000 0.0000  8 Pm 3.49, 4 Sc 3.59
Tm2 0.5000 0.0000 0.5000  8 Pm 3.57, 4 Y 3.59
Sc1 0.5000 0.0000 0.0000  8 Pm 3.49, 4 Tm 3.59

Values from the calculation:
- final energy (eV per cell) = -40.51
- total moment (μB/atom) = 0.0000
- symmetry = Pmmm, No. 47
- formation energy (eV/f.u.) = 0.24
- N(E_F) (states/eV/f.u.) = 11.1